Record 1
Ce2NdGa | PBE-GGA | optimized geometry

Unit cell a=5.315 b=5.315 c=5.315 alpha=60.00 beta=60.00 gamma=60.00
Sites, in units of the cell vectors:
Nd 0.000 0.000 0.000
Ga 0.500 0.500 0.500
Ce 0.750 0.750 0.750
Ce 0.250 0.250 0.250

Values from the calculation:
E ... -4.9328 eV/atom
Space-group type ... Fm-3m, No. 225
Calculated formation energy ... -17 meV/atom
D(E_F) ... 9.9 states/eV per cell


Record 2
Ce12NdGa6 | PBE-GGA | optimized geometry

Unit cell a=8.311 b=8.311 c=8.311 alpha=102.97 beta=102.97 gamma=102.97
Last column: magnetic moment on the atom in μB.
Sites, in units of the cell vectors:
Ce 0.897 0.103 0.500  0.36
Ce 0.855 0.587 0.587  0.60
Ce 0.587 0.587 0.855  0.60
Ce 0.413 0.145 0.413  0.60
Ce 0.413 0.413 0.145  0.60
Ce 0.145 0.413 0.413  0.60
Ce 0.103 0.500 0.897  0.36
Ce 0.500 0.897 0.103  0.36
Ce 0.103 0.897 0.500  0.36
Ce 0.897 0.500 0.103  0.36
Ce 0.500 0.103 0.897  0.36
Ce 0.587 0.855 0.587  0.60
Nd 0.000 0.000 0.000  -0.02
Ga 0.719 0.269 0.269  -0.01
Ga 0.269 0.269 0.719  -0.01
Ga 0.269 0.719 0.269  -0.01
Ga 0.731 0.731 0.281  -0.01
Ga 0.281 0.731 0.731  -0.01
Ga 0.731 0.281 0.731  -0.01

Values from the calculation:
E ... -5.1006 eV/atom
Space-group type ... R-3m, No. 166
Calculated formation energy ... -146 meV/atom
D(E_F) ... 53.7 states/eV per cell


Record 3
Ce2Nd2Ga3 | PBE-GGA | optimized geometry

Unit cell a=4.316 b=7.123 c=7.023 alpha=113.40 beta=90.00 gamma=107.64
Last column: magnetic moment on the atom in μB.
Sites, in units of the cell vectors:
Ce 0.892 0.783 0.222  0.69
Ce 0.108 0.217 0.778  0.69
Nd 0.828 0.657 0.735  0.07
Nd 0.172 0.343 0.265  0.07
Ga 0.500 0.000 0.000  -0.01
Ga 0.579 0.157 0.443  -0.01
Ga 0.421 0.843 0.557  -0.01

Values from the calculation:
E ... -4.7011 eV/atom
Space-group type ... C2/m, No. 12
Calculated formation energy ... -346 meV/atom
D(E_F) ... 14.8 states/eV per cell


Record 4
Ce2NdGa | PBE-GGA | optimized geometry

Unit cell a=4.338 b=4.453 c=11.294 alpha=100.26 beta=90.00 gamma=90.00
Sites, in units of the cell vectors:
Ce 0.750 0.394 0.878
Ce 0.250 0.606 0.122
Ce 0.250 0.993 0.880
Ce 0.750 0.007 0.120
Nd 0.250 0.301 0.603
Nd 0.750 0.699 0.397
Ga 0.750 0.826 0.679
Ga 0.250 0.174 0.321

Values from the calculation:
E ... -5.1957 eV/atom
Space-group type ... P2_1/m, No. 11
Calculated formation energy ... -280 meV/atom
D(E_F) ... 14.9 states/eV per cell


Record 5
Ce3NdGa2 | PBE-GGA | optimized geometry

Unit cell a=4.555 b=9.381 c=8.005 alpha=115.24 beta=90.00 gamma=104.05
Sites, in units of the cell vectors:
Ce 0.297 0.595 0.568
Ce 0.936 0.871 0.541
Ce 0.630 0.259 0.689
Ce 0.370 0.741 0.311
Ce 0.064 0.129 0.459
Ce 0.703 0.405 0.432
Nd 0.887 0.775 0.958
Nd 0.113 0.225 0.042
Ga 0.486 0.971 0.820
Ga 0.514 0.029 0.180
Ga 0.751 0.502 0.112
Ga 0.249 0.498 0.888

Values from the calculation:
E ... -5.1345 eV/atom
Space-group type ... C2/m, No. 12
Calculated formation energy ... -364 meV/atom
D(E_F) ... 19.7 states/eV per cell


Record 6
CeNd7Ga4 | PBE-GGA | optimized geometry

Unit cell a=5.588 b=9.280 c=7.532 alpha=77.06 beta=68.23 gamma=72.48
Last column: magnetic moment on the atom in μB.
Sites, in units of the cell vectors:
Ce 0.000 0.000 0.000  0.81
Nd 0.795 0.882 0.527  0.00
Nd 0.205 0.118 0.473  0.00
Nd 0.066 0.610 0.258  0.00
Nd 0.934 0.390 0.742  0.00
Nd 0.292 0.649 0.766  0.01
Nd 0.500 0.000 0.000  0.17
Nd 0.708 0.351 0.234  0.01
Ga 0.552 0.245 0.650  0.00
Ga 0.448 0.755 0.350  0.00
Ga 0.677 0.669 0.976  -0.01
Ga 0.323 0.331 0.024  -0.01

Values from the calculation:
E ... -4.4816 eV/atom
Space-group type ... C2/m, No. 12
Calculated formation energy ... -197 meV/atom
D(E_F) ... 14.0 states/eV per cell